Density functional theory data (PBE) for a geometry-optimized NaSbCl2 structure.

a b c (Å): 8.9472 8.9472 8.9472
angles (deg): 23.99 23.99 23.99
Last column: nearest neighbours and their distance in Å.
Positions (direct):
Na 0.0000 0.0000 0.0000  6 Cl 2.73
Sb 0.5000 0.5000 0.5000  2 Cl 2.65
Cl 0.3983 0.3983 0.3983  1 Sb 2.65, 3 Na 2.73
Cl 0.6017 0.6017 0.6017  1 Sb 2.65, 3 Na 2.73

## Properties
The space-group type is No. 166.

Density functional theory data (PBE) for a geometry-optimized Na5Sb3Cl12 structure.

a b c (Å): 14.5813 14.5813 14.5813
angles (deg): 109.47 109.47 109.47
Last column: nearest neighbours and their distance in Å.
Positions (direct):
Na 0.0000 0.0000 0.0000  6 Cl 2.81
Na 0.0000 0.0000 0.5000  6 Cl 2.81
Na 0.0000 0.5000 0.0000  6 Cl 2.81
Na 0.0000 0.5000 0.5000  6 Cl 2.81
Na 0.1250 0.7500 0.8750  4 Cl 2.68
Na 0.1250 0.8750 0.2500  4 Cl 2.68
Na 0.2500 0.1250 0.8750  4 Cl 2.68
Na 0.2500 0.6250 0.3750  4 Cl 2.68
Na 0.3750 0.2500 0.6250  4 Cl 2.68
Na 0.3750 0.6250 0.7500  4 Cl 2.68
Na 0.5000 0.0000 0.0000  6 Cl 2.81
Na 0.5000 0.0000 0.5000  6 Cl 2.81
Na 0.5000 0.5000 0.0000  6 Cl 2.81
Na 0.5000 0.5000 0.5000  6 Cl 2.81
Na 0.6250 0.3750 0.2500  4 Cl 2.68
Na 0.6250 0.7500 0.3750  4 Cl 2.68
Na 0.7500 0.3750 0.6250  4 Cl 2.68
Na 0.7500 0.8750 0.1250  4 Cl 2.68
Na 0.8750 0.1250 0.7500  4 Cl 2.68
Na 0.8750 0.2500 0.1250  4 Cl 2.68
Sb 0.1250 0.2500 0.3750  4 Cl 2.72
Sb 0.1250 0.3750 0.7500  4 Cl 2.72
Sb 0.2500 0.3750 0.1250  4 Cl 2.72
Sb 0.2500 0.8750 0.6250  4 Cl 2.72
Sb 0.3750 0.1250 0.2500  4 Cl 2.72
Sb 0.3750 0.7500 0.1250  4 Cl 2.72
Sb 0.6250 0.2500 0.8750  4 Cl 2.72
Sb 0.6250 0.8750 0.7500  4 Cl 2.72
Sb 0.7500 0.1250 0.3750  4 Cl 2.72
Sb 0.7500 0.6250 0.8750  4 Cl 2.72
Sb 0.8750 0.6250 0.2500  4 Cl 2.72
Sb 0.8750 0.7500 0.6250  4 Cl 2.72
Cl 0.0441 0.2064 0.1589  2 Na 2.68-2.81, 1 Sb 2.72
Cl 0.0441 0.3376 0.8851  2 Na 2.68-2.81, 1 Sb 2.72
Cl 0.0475 0.7064 0.6624  2 Na 2.68-2.81, 1 Sb 2.72
Cl 0.0475 0.8411 0.3851  2 Na 2.68-2.81, 1 Sb 2.72
Cl 0.1149 0.6589 0.4525  2 Na 2.68-2.81, 1 Sb 2.72
Cl 0.1149 0.9559 0.6624  2 Na 2.68-2.81, 1 Sb 2.72
Cl 0.1589 0.0441 0.2064  2 Na 2.68-2.81, 1 Sb 2.72
Cl 0.1589 0.6149 0.9525  2 Na 2.68-2.81, 1 Sb 2.72
Cl 0.1624 0.2064 0.5475  2 Na 2.68-2.81, 1 Sb 2.72
Cl 0.1624 0.4559 0.6149  2 Na 2.68-2.81, 1 Sb 2.72
Cl 0.2064 0.1589 0.0441  2 Na 2.68-2.81, 1 Sb 2.72
Cl 0.2064 0.5475 0.1624  2 Na 2.68-2.81, 1 Sb 2.72
Cl 0.2936 0.3376 0.9525  2 Na 2.68-2.81, 1 Sb 2.72
Cl 0.2936 0.4559 0.3411  2 Na 2.68-2.81, 1 Sb 2.72
Cl 0.3376 0.8851 0.0441  2 Na 2.68-2.81, 1 Sb 2.72
Cl 0.3376 0.9525 0.2936  2 Na 2.68-2.81, 1 Sb 2.72
Cl 0.3411 0.2936 0.4559  2 Na 2.68-2.81, 1 Sb 2.72
Cl 0.3411 0.5475 0.8851  2 Na 2.68-2.81, 1 Sb 2.72
Cl 0.3851 0.0475 0.8411  2 Na 2.68-2.81, 1 Sb 2.72
Cl 0.3851 0.8376 0.5441  2 Na 2.68-2.81, 1 Sb 2.72
Cl 0.4525 0.1149 0.6589  2 Na 2.68-2.81, 1 Sb 2.72
Cl 0.4525 0.8376 0.7936  2 Na 2.68-2.81, 1 Sb 2.72
Cl 0.4559 0.3411 0.2936  2 Na 2.68-2.81, 1 Sb 2.72
Cl 0.4559 0.6149 0.1624  2 Na 2.68-2.81, 1 Sb 2.72
Cl 0.5441 0.3851 0.8376  2 Na 2.68-2.81, 1 Sb 2.72
Cl 0.5441 0.6589 0.7064  2 Na 2.68-2.81, 1 Sb 2.72
Cl 0.5475 0.1624 0.2064  2 Na 2.68-2.81, 1 Sb 2.72
Cl 0.5475 0.8851 0.3411  2 Na 2.68-2.81, 1 Sb 2.72
Cl 0.6149 0.1624 0.4559  2 Na 2.68-2.81, 1 Sb 2.72
Cl 0.6149 0.9525 0.1589  2 Na 2.68-2.81, 1 Sb 2.72
Cl 0.6589 0.4525 0.1149  2 Na 2.68-2.81, 1 Sb 2.72
Cl 0.6589 0.7064 0.5441  2 Na 2.68-2.81, 1 Sb 2.72
Cl 0.6624 0.0475 0.7064  2 Na 2.68-2.81, 1 Sb 2.72
Cl 0.6624 0.1149 0.9559  2 Na 2.68-2.81, 1 Sb 2.72
Cl 0.7064 0.5441 0.6589  2 Na 2.68-2.81, 1 Sb 2.72
Cl 0.7064 0.6624 0.0475  2 Na 2.68-2.81, 1 Sb 2.72
Cl 0.7936 0.4525 0.8376  2 Na 2.68-2.81, 1 Sb 2.72
Cl 0.7936 0.8411 0.9559  2 Na 2.68-2.81, 1 Sb 2.72
Cl 0.8376 0.5441 0.3851  2 Na 2.68-2.81, 1 Sb 2.72
Cl 0.8376 0.7936 0.4525  2 Na 2.68-2.81, 1 Sb 2.72
Cl 0.8411 0.3851 0.0475  2 Na 2.68-2.81, 1 Sb 2.72
Cl 0.8411 0.9559 0.7936  2 Na 2.68-2.81, 1 Sb 2.72
Cl 0.8851 0.0441 0.3376  2 Na 2.68-2.81, 1 Sb 2.72
Cl 0.8851 0.3411 0.5475  2 Na 2.68-2.81, 1 Sb 2.72
Cl 0.9525 0.1589 0.6149  2 Na 2.68-2.81, 1 Sb 2.72
Cl 0.9525 0.2936 0.3376  2 Na 2.68-2.81, 1 Sb 2.72
Cl 0.9559 0.6624 0.1149  2 Na 2.68-2.81, 1 Sb 2.72
Cl 0.9559 0.7936 0.8411  2 Na 2.68-2.81, 1 Sb 2.72

## Properties
The space-group type is No. 230.

Density functional theory data (PBE) for a geometry-optimized NaSb3Cl9 structure.

a b c (Å): 10.7753 10.7753 10.3566
angles (deg): 112.17 112.17 73.52
Last column: nearest neighbours and their distance in Å.
Positions (direct):
Na 0.1784 0.8216 0.5000  5 Cl 2.69-2.94
Na 0.8216 0.1784 0.0000  5 Cl 2.69-2.94
Sb 0.2204 0.6074 0.0545  3 Cl 2.37-2.43
Sb 0.2275 0.9912 0.8966  4 Cl 2.42-2.70
Sb 0.6074 0.2204 0.5545  3 Cl 2.37-2.43
Sb 0.7259 0.7678 0.1289  2 Cl 2.43-2.44
Sb 0.7678 0.7259 0.6289  2 Cl 2.43-2.44
Sb 0.9912 0.2275 0.3966  4 Cl 2.42-2.70
Cl 0.0336 0.0728 0.5671  1 Na 2.69, 1 Sb 2.70
Cl 0.0728 0.0336 0.0671  1 Na 2.69, 1 Sb 2.70
Cl 0.1264 0.7876 0.7432  1 Sb 2.44
Cl 0.1881 0.4014 0.0617  1 Sb 2.38
Cl 0.3434 0.6923 0.3123  1 Sb 2.43
Cl 0.3918 0.9068 0.7468  1 Sb 2.54, 1 Na 2.77
Cl 0.4014 0.1881 0.5617  1 Sb 2.38
Cl 0.4021 0.8972 0.0809  1 Sb 2.42
Cl 0.4169 0.5097 0.9767  1 Sb 2.37
Cl 0.5097 0.4169 0.4767  1 Sb 2.37
Cl 0.6880 0.8426 0.3651  1 Sb 2.43
Cl 0.6923 0.3434 0.8123  1 Sb 2.43
Cl 0.7163 0.9716 0.7340  1 Sb 2.44
Cl 0.7876 0.1264 0.2432  1 Sb 2.44
Cl 0.8426 0.6880 0.8651  1 Sb 2.43
Cl 0.8972 0.4021 0.5809  1 Sb 2.42
Cl 0.9068 0.3918 0.2468  1 Sb 2.54, 1 Na 2.77
Cl 0.9716 0.7163 0.2340  1 Sb 2.44

## Properties
The space-group type is No. 9.

Formation energy from raw total energies, record by record: -1019, -1111, -892 meV per atom